# 1
TlVO4 | PBE+U | relaxed

**Calculated total energy**: -0.457 Ry/atom
**SG**: I4_1/amd

Cell lengths 5.984, 5.984, 5.984 Å; angles 107.83, 107.83, 112.80 degrees
Fractional positions:
Tl1 0.375 0.625 0.750
Tl2 0.625 0.375 0.250
V1 0.125 0.875 0.250
V2 0.875 0.125 0.750
O1 0.152 0.709 0.443
O2 0.233 0.291 0.943
O3 0.291 0.233 0.443
O4 0.291 0.848 0.057
O5 0.709 0.152 0.943
O6 0.709 0.767 0.557
O7 0.767 0.709 0.057
O8 0.848 0.291 0.557

***

# 2
Tl2VO4 | PBE+U | relaxed

**Calculated total energy**: -0.425 Ry/atom
**Distance to the lowest polymorph of the same formula**: 0 meV/atom
**SG**: Cm

Cell lengths 6.167, 6.167, 3.643 Å; angles 106.71, 106.71, 100.20 degrees
Fractional positions:
Tl1 0.169 0.831 0.000
Tl2 0.831 0.169 0.000
V1 0.458 0.458 0.500
O1 0.194 0.584 0.391
O2 0.393 0.393 0.907
O3 0.584 0.194 0.391
O4 0.695 0.695 0.727

***

# 3
Tl2VO | PBE+U | relaxed

**Calculated total energy**: -0.297 Ry/atom
**Distance to the lowest polymorph of the same formula**: 0 meV/atom
**SG**: I-42d

Cell lengths 6.103, 6.103, 6.103 Å; angles 103.04, 103.04, 123.27 degrees
Fractional positions:
Tl1 0.062 0.625 0.937
Tl2 0.375 0.312 0.437
Tl3 0.688 0.125 0.063
Tl4 0.875 0.938 0.563
V1 0.250 0.750 0.500
V2 0.500 0.500 0.000
O1 0.000 0.000 0.000
O2 0.750 0.250 0.500

***

# 4
TlV3O7 | PBE+U | relaxed

**Calculated total energy**: -0.501 Ry/atom
**SG**: P3m1

Cell lengths 6.230, 6.230, 5.854 Å; angles 90.00, 90.00, 120.00 degrees
Fractional positions:
Tl1 0.000 0.000 0.000
V1 0.372 0.186 0.530
V2 0.814 0.186 0.530
V3 0.814 0.628 0.530
O1 0.136 0.273 0.627
O2 0.136 0.864 0.627
O3 0.528 0.055 0.353
O4 0.528 0.472 0.353
O5 0.667 0.333 0.719
O6 0.727 0.864 0.627
O7 0.945 0.472 0.353

***

# 5
TlV2O6 | PBE+U | relaxed

**Calculated total energy**: -0.498 Ry/atom
**Distance to the lowest polymorph of the same formula**: 14 meV/atom
**SG**: C2/c

Cell lengths 7.548, 7.548, 6.042 Å; angles 104.63, 104.63, 85.12 degrees
Fractional positions:
Tl1 0.117 0.883 0.750
Tl2 0.883 0.117 0.250
V1 0.218 0.374 0.767
V2 0.374 0.218 0.267
V3 0.626 0.782 0.733
V4 0.782 0.626 0.233
O1 0.064 0.198 0.656
O2 0.103 0.575 0.795
O3 0.198 0.064 0.156
O4 0.348 0.357 0.549
O5 0.357 0.348 0.049
O6 0.425 0.897 0.705
O7 0.575 0.103 0.295
O8 0.643 0.652 0.951
O9 0.652 0.643 0.451
O10 0.802 0.936 0.844
O11 0.897 0.425 0.205
O12 0.936 0.802 0.344

***

# 6
TlVO3 | PBE+U | relaxed

**Calculated total energy**: -0.480 Ry/atom
**SG**: C2/c

Cell lengths 8.167, 8.167, 11.914 Å; angles 108.78, 108.78, 60.77 degrees
Fractional positions:
Tl1 0.000 0.500 0.000
Tl2 0.117 0.690 0.502
Tl3 0.310 0.883 0.998
Tl4 0.500 0.000 0.500
Tl5 0.690 0.117 0.002
Tl6 0.883 0.310 0.498
V1 0.185 0.815 0.250
V2 0.344 0.420 0.753
V3 0.420 0.344 0.253
V4 0.580 0.656 0.747
V5 0.656 0.580 0.247
V6 0.815 0.185 0.750
O1 0.029 0.885 0.124
O2 0.115 0.971 0.376
O3 0.193 0.375 0.625
O4 0.213 0.581 0.255
O5 0.265 0.460 0.876
O6 0.372 0.628 0.750
O7 0.375 0.193 0.125
O8 0.419 0.787 0.245
O9 0.460 0.265 0.376
O10 0.540 0.735 0.624
O11 0.581 0.213 0.755
O12 0.625 0.807 0.875
O13 0.628 0.372 0.250
O14 0.735 0.540 0.124
O15 0.787 0.419 0.745
O16 0.807 0.625 0.375
O17 0.885 0.029 0.624
O18 0.971 0.115 0.876

***

# 7
TlVWO6 | PBE+U | relaxed

**Calculated total energy**: -0.510 Ry/atom
**SG**: P3

Cell lengths 5.198, 5.198, 6.198 Å; angles 90.00, 90.00, 120.00 degrees
Fractional positions:
Tl1 0.000 0.000 0.000
V1 0.333 0.667 0.541
W1 0.667 0.333 0.465
O1 0.002 0.400 0.677
O2 0.008 0.615 0.323
O3 0.385 0.393 0.323
O4 0.398 0.998 0.677
O5 0.600 0.602 0.677
O6 0.607 0.992 0.323

***

# 8
Tl2VWO6 | PBE+U | relaxed

**Calculated total energy**: -0.472 Ry/atom
**SG**: R-3m

Cell lengths 9.992, 9.992, 9.992 Å; angles 34.48, 34.48, 34.48 degrees
Fractional positions:
Tl1 0.131 0.131 0.131
Tl2 0.278 0.278 0.278
Tl3 0.722 0.722 0.722
Tl4 0.869 0.869 0.869
V1 0.403 0.403 0.403
V2 0.597 0.597 0.597
W1 0.000 0.000 0.000
W2 0.500 0.500 0.500
O1 0.166 0.599 0.599
O2 0.200 0.200 0.715
O3 0.200 0.715 0.200
O4 0.285 0.800 0.800
O5 0.401 0.401 0.834
O6 0.401 0.834 0.401
O7 0.599 0.166 0.599
O8 0.599 0.599 0.166
O9 0.715 0.200 0.200
O10 0.800 0.285 0.800
O11 0.800 0.800 0.285
O12 0.834 0.401 0.401

***

# 9
Tl2VW3O12 | PBE+U | relaxed

**Calculated total energy**: -0.514 Ry/atom
**SG**: R-3m

Cell lengths 7.293, 7.293, 7.293 Å; angles 60.77, 60.77, 60.77 degrees
Fractional positions:
Tl1 0.147 0.147 0.147
Tl2 0.853 0.853 0.853
V1 0.500 0.500 0.500
W1 0.000 0.500 0.500
W2 0.500 0.000 0.500
W3 0.500 0.500 0.000
O1 0.186 0.186 0.557
O2 0.186 0.557 0.186
O3 0.189 0.559 0.559
O4 0.441 0.441 0.811
O5 0.441 0.811 0.441
O6 0.443 0.814 0.814
O7 0.557 0.186 0.186
O8 0.559 0.189 0.559
O9 0.559 0.559 0.189
O10 0.811 0.441 0.441
O11 0.814 0.443 0.814
O12 0.814 0.814 0.443

***

# 10
Y3Tl3VO8 | PBE+U | relaxed

**Calculated total energy**: -0.526 Ry/atom
**SG**: C2/m

Cell lengths 6.768, 6.768, 7.639 Å; angles 116.56, 116.56, 60.23 degrees
Fractional positions:
Y1 0.000 0.000 0.000
Y2 0.000 0.500 0.000
Y3 0.500 0.000 0.000
Tl1 0.000 0.500 0.500
Tl2 0.500 0.000 0.500
Tl3 0.500 0.500 0.500
V1 0.500 0.500 0.000
O1 0.224 0.224 0.170
O2 0.254 0.704 0.161
O3 0.296 0.746 0.839
O4 0.300 0.300 0.842
O5 0.700 0.700 0.158
O6 0.704 0.254 0.161
O7 0.746 0.296 0.839
O8 0.776 0.776 0.830

***

# 11
Y2Tl2VO6 | PBE+U | relaxed

**Calculated total energy**: -0.530 Ry/atom
**SG**: C2/m

Cell lengths 5.760, 5.760, 6.749 Å; angles 97.46, 97.46, 119.56 degrees
Fractional positions:
Y1 0.165 0.835 0.000
Y2 0.835 0.165 0.000
Tl1 0.338 0.662 0.500
Tl2 0.662 0.338 0.500
V1 0.500 0.500 0.000
O1 0.155 0.454 0.843
O2 0.253 0.253 0.170
O3 0.454 0.155 0.843
O4 0.546 0.845 0.157
O5 0.747 0.747 0.830
O6 0.845 0.546 0.157

***

# 12
TlV2ZnO6 | PBE+U | relaxed

**Calculated total energy**: -0.474 Ry/atom
**SG**: C2/c

Cell lengths 8.053, 8.053, 6.073 Å; angles 104.82, 104.82, 93.91 degrees
Fractional positions:
Tl1 0.134 0.866 0.750
Tl2 0.866 0.134 0.250
V1 0.210 0.379 0.838
V2 0.379 0.210 0.338
V3 0.621 0.790 0.662
V4 0.790 0.621 0.162
Zn1 0.246 0.754 0.250
Zn2 0.754 0.246 0.750
O1 0.005 0.717 0.269
O2 0.239 0.606 0.941
O3 0.283 0.995 0.231
O4 0.301 0.312 0.588
O5 0.312 0.301 0.088
O6 0.394 0.761 0.559
O7 0.606 0.239 0.441
O8 0.688 0.699 0.912
O9 0.699 0.688 0.412
O10 0.717 0.005 0.769
O11 0.761 0.394 0.059
O12 0.995 0.283 0.731